Entry 1:
{
  "formula": "CsThZnTe4",
  "functional": "PBE",
  "state": "relaxed",
  "dft_energy_ev_per_atom": -4.08,
  "m_tot_mub_per_cell": 0.00,
  "raw_formation_energy_ev_per_fu": -6.44,
  "lattice": [[7.7738, 0.0000, 0.0000], [0.0000, 6.5386, 0.0000], [-3.1067, 0.0000, 10.3608]],
  "species": ["Cs", "Cs", "Th", "Th", "Zn", "Zn", "Te", "Te", "Te", "Te", "Te", "Te", "Te", "Te"],
  "frac_coords": [[0.2327, 0.2500, 0.0495], [0.7673, 0.7500, 0.9505], [0.2626, 0.2500, 0.5530], [0.7374, 0.7500, 0.4470], [0.2700, 0.7500, 0.3326], [0.7300, 0.2500, 0.6674], [0.0119, 0.5083, 0.6957], [0.0119, 0.9917, 0.6957], [0.4247, 0.7500, 0.5848], [0.4615, 0.7500, 0.1737], [0.5385, 0.2500, 0.8263], [0.5753, 0.2500, 0.4152], [0.9881, 0.0083, 0.3043], [0.9881, 0.4917, 0.3043]]
}


Entry 2:
{
  "formula": "Cs2TiTe4",
  "functional": "PBE",
  "state": "relaxed",
  "dft_energy_ev_per_atom": -3.82,
  "m_tot_mub_per_cell": 0.00,
  "raw_formation_energy_ev_per_fu": -4.60,
  "lattice": [[5.5649, 0.0000, 0.0000], [0.0000, 5.5649, 0.0000], [0.0000, 0.0000, 19.0237]],
  "species": ["Cs", "Cs", "Cs", "Cs", "Ti", "Ti", "Te", "Te", "Te", "Te", "Te", "Te", "Te", "Te"],
  "frac_coords": [[0.0000, 0.0000, 0.1492], [0.0000, 0.0000, 0.8508], [0.5000, 0.5000, 0.3508], [0.5000, 0.5000, 0.6492], [0.0000, 0.0000, 0.5000], [0.5000, 0.5000, 0.0000], [0.0000, 0.0000, 0.3582], [0.0000, 0.0000, 0.6418], [0.0000, 0.5000, 0.0000], [0.0000, 0.5000, 0.5000], [0.5000, 0.0000, 0.0000], [0.5000, 0.0000, 0.5000], [0.5000, 0.5000, 0.1418], [0.5000, 0.5000, 0.8582]]
}


Entry 3:
{
  "formula": "CsTi3Te3",
  "functional": "PBE",
  "state": "relaxed",
  "dft_energy_ev_per_atom": -5.59,
  "m_tot_mub_per_cell": 9.96,
  "raw_formation_energy_ev_per_fu": -5.18,
  "lattice": [[10.4253, 0.0000, 0.0000], [-5.2127, 9.0286, 0.0000], [0.0000, 0.0000, 4.8497]],
  "species": ["Cs", "Cs", "Ti", "Ti", "Ti", "Ti", "Ti", "Ti", "Te", "Te", "Te", "Te", "Te", "Te"],
  "frac_coords": [[0.3333, 0.6667, 0.2500], [0.6667, 0.3333, 0.7500], [0.0262, 0.1750, 0.2500], [0.1488, 0.9738, 0.2500], [0.1750, 0.1488, 0.7500], [0.8250, 0.8512, 0.2500], [0.8512, 0.0262, 0.7500], [0.9738, 0.8250, 0.7500], [0.0504, 0.3372, 0.7500], [0.2868, 0.9496, 0.7500], [0.3372, 0.2868, 0.2500], [0.6628, 0.7132, 0.7500], [0.7132, 0.0504, 0.2500], [0.9496, 0.6628, 0.2500]]
}


Entry 4:
{
  "formula": "Cs3Ti5Te12",
  "functional": "PBE",
  "state": "relaxed",
  "dft_energy_ev_per_atom": -4.56,
  "m_tot_mub_per_cell": 0.00,
  "raw_formation_energy_ev_per_fu": -11.52,
  "lattice": [[-9.1389, 9.1389, 9.1389], [9.1389, -9.1389, 9.1389], [9.1389, 9.1389, -9.1389]],
  "species": ["Cs", "Cs", "Cs", "Cs", "Cs", "Cs", "Cs", "Cs", "Cs", "Cs", "Cs", "Cs", "Ti", "Ti", "Ti", "Ti", "Ti", "Ti", "Ti", "Ti", "Ti", "Ti", "Ti", "Ti", "Ti", "Ti", "Ti", "Ti", "Ti", "Ti", "Ti", "Ti", "Te", "Te", "Te", "Te", "Te", "Te", "Te", "Te", "Te", "Te", "Te", "Te", "Te", "Te", "Te", "Te", "Te", "Te", "Te", "Te", "Te", "Te", "Te", "Te", "Te", "Te", "Te", "Te", "Te", "Te", "Te", "Te", "Te", "Te", "Te", "Te", "Te", "Te", "Te", "Te", "Te", "Te", "Te", "Te", "Te", "Te", "Te", "Te"],
  "frac_coords": [[0.1250, 0.2500, 0.3750], [0.1250, 0.3750, 0.7500], [0.2500, 0.3750, 0.1250], [0.2500, 0.8750, 0.6250], [0.3750, 0.1250, 0.2500], [0.3750, 0.7500, 0.1250], [0.6250, 0.2500, 0.8750], [0.6250, 0.8750, 0.7500], [0.7500, 0.1250, 0.3750], [0.7500, 0.6250, 0.8750], [0.8750, 0.6250, 0.2500], [0.8750, 0.7500, 0.6250], [0.0000, 0.0000, 0.0000], [0.0000, 0.0000, 0.5000], [0.0000, 0.5000, 0.0000], [0.0000, 0.5000, 0.5000], [0.1250, 0.7500, 0.8750], [0.1250, 0.8750, 0.2500], [0.2500, 0.1250, 0.8750], [0.2500, 0.6250, 0.3750], [0.3750, 0.2500, 0.6250], [0.3750, 0.6250, 0.7500], [0.5000, 0.0000, 0.0000], [0.5000, 0.0000, 0.5000], [0.5000, 0.5000, 0.0000], [0.5000, 0.5000, 0.5000], [0.6250, 0.3750, 0.2500], [0.6250, 0.7500, 0.3750], [0.7500, 0.3750, 0.6250], [0.7500, 0.8750, 0.1250], [0.8750, 0.1250, 0.7500], [0.8750, 0.2500, 0.1250], [0.0006, 0.6849, 0.0956], [0.0006, 0.8157, 0.9049], [0.0892, 0.6843, 0.6849], [0.0892, 0.9049, 0.4044], [0.0951, 0.5956, 0.9108], [0.0951, 0.9994, 0.1843], [0.0956, 0.0006, 0.6849], [0.0956, 0.5951, 0.4108], [0.1843, 0.0951, 0.9994], [0.1843, 0.5892, 0.1849], [0.1849, 0.1843, 0.5892], [0.1849, 0.5006, 0.5956], [0.3151, 0.9044, 0.9994], [0.3151, 0.9108, 0.3157], [0.3157, 0.3151, 0.9108], [0.3157, 0.5006, 0.4049], [0.4044, 0.0892, 0.9049], [0.4044, 0.8151, 0.4994], [0.4049, 0.3157, 0.5006], [0.4049, 0.5892, 0.9044], [0.4108, 0.0956, 0.5951], [0.4108, 0.8151, 0.8157], [0.4994, 0.4044, 0.8151], [0.4994, 0.5951, 0.6843], [0.5006, 0.4049, 0.3157], [0.5006, 0.5956, 0.1849], [0.5892, 0.1849, 0.1843], [0.5892, 0.9044, 0.4049], [0.5951, 0.4108, 0.0956], [0.5951, 0.6843, 0.4994], [0.5956, 0.1849, 0.5006], [0.5956, 0.9108, 0.0951], [0.6843, 0.4994, 0.5951], [0.6843, 0.6849, 0.0892], [0.6849, 0.0892, 0.6843], [0.6849, 0.0956, 0.0006], [0.8151, 0.4994, 0.4044], [0.8151, 0.8157, 0.4108], [0.8157, 0.4108, 0.8151], [0.8157, 0.9049, 0.0006], [0.9044, 0.4049, 0.5892], [0.9044, 0.9994, 0.3151], [0.9049, 0.0006, 0.8157], [0.9049, 0.4044, 0.0892], [0.9108, 0.0951, 0.5956], [0.9108, 0.3157, 0.3151], [0.9994, 0.1843, 0.0951], [0.9994, 0.3151, 0.9044]]
}


Entry 5:
{
  "formula": "CsTiTe2",
  "functional": "PBE",
  "state": "relaxed",
  "dft_energy_ev_per_atom": -3.81,
  "m_tot_mub_per_cell": 5.04,
  "raw_formation_energy_ev_per_fu": -0.22,
  "lattice": [[7.9082, 0.0000, 0.0000], [0.0000, 7.9082, 0.0000], [0.0000, 0.0000, 7.9082]],
  "species": ["Cs", "Cs", "Cs", "Cs", "Ti", "Ti", "Ti", "Ti", "Te", "Te", "Te", "Te", "Te", "Te", "Te", "Te"],
  "frac_coords": [[0.0000, 0.0000, 0.0000], [0.0000, 0.5000, 0.5000], [0.5000, 0.0000, 0.5000], [0.5000, 0.5000, 0.0000], [0.0000, 0.0000, 0.5000], [0.0000, 0.5000, 0.0000], [0.5000, 0.0000, 0.0000], [0.5000, 0.5000, 0.5000], [0.2500, 0.2500, 0.2500], [0.2500, 0.2500, 0.7500], [0.2500, 0.7500, 0.2500], [0.2500, 0.7500, 0.7500], [0.7500, 0.2500, 0.2500], [0.7500, 0.2500, 0.7500], [0.7500, 0.7500, 0.2500], [0.7500, 0.7500, 0.7500]]
}


Entry 6:
{
  "formula": "Cs2TiTe6",
  "functional": "PBE",
  "state": "relaxed",
  "dft_energy_ev_per_atom": -3.71,
  "m_tot_mub_per_cell": 0.00,
  "raw_formation_energy_ev_per_fu": -4.90,
  "lattice": [[7.9504, -4.8716, 0.0000], [7.9504, 4.8716, 0.0000], [-0.4512, 0.0000, 4.9775]],
  "species": ["Cs", "Cs", "Ti", "Te", "Te", "Te", "Te", "Te", "Te"],
  "frac_coords": [[0.2021, 0.2021, 0.4789], [0.7979, 0.7979, 0.5211], [0.5000, 0.5000, 0.0000], [0.1760, 0.5623, 0.0491], [0.3274, 0.6726, 0.5000], [0.4377, 0.8240, 0.9509], [0.5623, 0.1760, 0.0491], [0.6726, 0.3274, 0.5000], [0.8240, 0.4377, 0.9509]]
}


Entry 7:
{
  "formula": "CsTi3Te6",
  "functional": "PBE",
  "state": "relaxed",
  "dft_energy_ev_per_atom": -5.06,
  "m_tot_mub_per_cell": 1.53,
  "raw_formation_energy_ev_per_fu": -7.21,
  "lattice": [[12.8851, 0.0000, 0.0000], [0.0000, 3.8708, 0.0000], [-4.5650, 0.0000, 13.0624]],
  "species": ["Cs", "Cs", "Ti", "Ti", "Ti", "Ti", "Ti", "Ti", "Te", "Te", "Te", "Te", "Te", "Te", "Te", "Te", "Te", "Te", "Te", "Te"],
  "frac_coords": [[0.1454, 0.2500, 0.3910], [0.8546, 0.7500, 0.6090], [0.1361, 0.2500, 0.0283], [0.2821, 0.7500, 0.7553], [0.4912, 0.7500, 0.2764], [0.5088, 0.2500, 0.7236], [0.7179, 0.2500, 0.2447], [0.8639, 0.7500, 0.9717], [0.0593, 0.7500, 0.1336], [0.1332, 0.2500, 0.6642], [0.2153, 0.7500, 0.9315], [0.3317, 0.2500, 0.2107], [0.3796, 0.7500, 0.5964], [0.4337, 0.2500, 0.8763], [0.5663, 0.7500, 0.1237], [0.6204, 0.2500, 0.4036], [0.6683, 0.7500, 0.7893], [0.7847, 0.2500, 0.0685], [0.8668, 0.7500, 0.3358], [0.9407, 0.2500, 0.8664]]
}


Entry 8:
{
  "formula": "CsTiTe2",
  "functional": "PBE",
  "state": "relaxed",
  "dft_energy_ev_per_atom": -4.57,
  "m_tot_mub_per_cell": 4.00,
  "raw_formation_energy_ev_per_fu": -3.23,
  "lattice": [[7.7875, 0.0000, 0.0000], [0.0000, 7.8903, 0.0000], [-5.3628, 0.0000, 11.7034]],
  "species": ["Cs", "Cs", "Cs", "Cs", "Ti", "Ti", "Ti", "Ti", "Te", "Te", "Te", "Te", "Te", "Te", "Te", "Te"],
  "frac_coords": [[0.1094, 0.1785, 0.1271], [0.1094, 0.8215, 0.6271], [0.8906, 0.1785, 0.3729], [0.8906, 0.8215, 0.8729], [0.4954, 0.4242, 0.8734], [0.4954, 0.5758, 0.3734], [0.5046, 0.4242, 0.6266], [0.5046, 0.5758, 0.1266], [0.2061, 0.3474, 0.6740], [0.2061, 0.6526, 0.1740], [0.4643, 0.2540, 0.4362], [0.4643, 0.7460, 0.9362], [0.5357, 0.2540, 0.0638], [0.5357, 0.7460, 0.5638], [0.7939, 0.3474, 0.8260], [0.7939, 0.6526, 0.3260]]
}


Please write out number 5 again, unchanged.
{
  "formula": "CsTiTe2",
  "functional": "PBE",
  "state": "relaxed",
  "dft_energy_ev_per_atom": -3.81,
  "m_tot_mub_per_cell": 5.04,
  "raw_formation_energy_ev_per_fu": -0.22,
  "lattice": [[7.9082, 0.0000, 0.0000], [0.0000, 7.9082, 0.0000], [0.0000, 0.0000, 7.9082]],
  "species": ["Cs", "Cs", "Cs", "Cs", "Ti", "Ti", "Ti", "Ti", "Te", "Te", "Te", "Te", "Te", "Te", "Te", "Te"],
  "frac_coords": [[0.0000, 0.0000, 0.0000], [0.0000, 0.5000, 0.5000], [0.5000, 0.0000, 0.5000], [0.5000, 0.5000, 0.0000], [0.0000, 0.0000, 0.5000], [0.0000, 0.5000, 0.0000], [0.5000, 0.0000, 0.0000], [0.5000, 0.5000, 0.5000], [0.2500, 0.2500, 0.2500], [0.2500, 0.2500, 0.7500], [0.2500, 0.7500, 0.2500], [0.2500, 0.7500, 0.7500], [0.7500, 0.2500, 0.2500], [0.7500, 0.2500, 0.7500], [0.7500, 0.7500, 0.2500], [0.7500, 0.7500, 0.7500]]
}